(1)
A relaxed Pm4Ga16Co3 crystal. Source: the Alexandria database, functional PBE-GGA.

abc: 6.094 6.094 11.277
angles: 90.00 90.00 90.00
Element x y z (fractional)
Ga: 0.249 0.249 0.387
Ga: 0.280 0.720 0.000
Ga: 0.249 0.751 0.613
Pm: 0.000 0.500 0.196
Pm: 0.000 0.500 0.804
Co: 0.000 0.000 0.000
Co: 0.000 0.500 0.500
Ga: 0.720 0.280 0.000
Ga: 0.500 0.500 0.806
Pm: 0.500 0.000 0.804
Ga: 0.720 0.720 0.000
Ga: 0.751 0.751 0.613
Ga: 0.249 0.751 0.387
Co: 0.500 0.000 0.500
Ga: 0.000 0.000 0.781
Ga: 0.751 0.249 0.613
Ga: 0.751 0.249 0.387
Ga: 0.280 0.280 0.000
Pm: 0.500 0.000 0.196
Ga: 0.500 0.500 0.194
Ga: 0.000 0.000 0.219
Ga: 0.249 0.249 0.613
Ga: 0.751 0.751 0.387

Results
Density in Mg/m³: 7.42
Uncorrected energy in eV for the cell shown: -100.58
Spin magnetization in μB per cell: 0.000
Energy relative to the elements in eV per atom: -0.514
Symmetry: No. 123


(2)
A relaxed PmGaCo crystal. Source: the Alexandria database, functional PBE-GGA.

abc: 4.448 4.448 4.448
angles: 60.00 60.00 60.00
Element x y z (fractional)
Co: 0.250 0.250 0.250
Pm: 0.000 0.000 0.000
Ga: 0.500 0.500 0.500

Results
Density in Mg/m³: 7.30
Distance to the lowest polymorph of the same formula in eV per atom: 0.258
Uncorrected energy in eV for the cell shown: -15.42
Spin magnetization in μB per cell: 0.000
Energy relative to the elements in eV per atom: -0.178
Symmetry: No. 216


(3)
A relaxed PmGaCo crystal. Source: the Alexandria database, functional PBE-GGA.

abc: 3.929 4.191 4.191
angles: 120.00 90.00 90.00
Element x y z (fractional)
Pm: 0.666 0.333 0.667
Co: 0.167 0.667 0.333
Ga: 0.167 0.000 0.000

Results
Density in Mg/m³: 7.60
Distance to the lowest polymorph of the same formula in eV per atom: 0.076
Uncorrected energy in eV for the cell shown: -15.96
Spin magnetization in μB per cell: 0.001
Energy relative to the elements in eV per atom: -0.360
Symmetry: No. 187


density of number 2 (PmGaCo)?
7.30 Mg/m³


Which value of uncorrected energy does entry 2 give?
-15.42 eV for the cell shown


What did the second record say?
A relaxed PmGaCo crystal. Source: the Alexandria database, functional PBE-GGA.

abc: 4.448 4.448 4.448
angles: 60.00 60.00 60.00
Element x y z (fractional)
Co: 0.250 0.250 0.250
Pm: 0.000 0.000 0.000
Ga: 0.500 0.500 0.500

Results
Density in Mg/m³: 7.30
Distance to the lowest polymorph of the same formula in eV per atom: 0.258
Uncorrected energy in eV for the cell shown: -15.42
Spin magnetization in μB per cell: 0.000
Energy relative to the elements in eV per atom: -0.178
Symmetry: No. 216